(1)
# Li2NdPuO6 | Alexandria via LeMat-Bulk | PBE | optimized geometry
data_Li2NdPuO6
_symmetry_space_group_name_H-M 'P 1 21/c 1'
_symmetry_Int_Tables_number 14
_symmetry_space_group_name_Hall '-P 2ybc'
_cell_length_a 5.531
_cell_length_b 5.963
_cell_length_c 9.913
_cell_angle_alpha 90.00
_cell_angle_beta 123.87
_cell_angle_gamma 90.00
loop_
_atom_site_label
_atom_site_fract_x
_atom_site_fract_y
_atom_site_fract_z
_atom_site_occupancy
Li1 0.244 0.050 0.252 1
Nd1 0.500 0.000 0.000 1
Pu1 0.000 0.000 0.500 1
O1 0.087 0.531 0.227 1
O2 0.210 0.204 0.065 1
O3 0.374 0.661 0.072 1
# uncorrected formation energy: -2.511 eV per atom
# total moment: 1.00 μB per formula unit

=====

(2)
# LiNdPu2O8 | Alexandria via LeMat-Bulk | PBE | optimized geometry
data_LiNdPu2O8
_symmetry_space_group_name_H-M 'I -4 m 2'
_symmetry_Int_Tables_number 119
_symmetry_space_group_name_Hall 'I -4 -2'
_cell_length_a 7.439
_cell_length_b 7.439
_cell_length_c 7.316
_cell_angle_alpha 90.00
_cell_angle_beta 90.00
_cell_angle_gamma 90.00
loop_
_atom_site_label
_atom_site_fract_x
_atom_site_fract_y
_atom_site_fract_z
_atom_site_occupancy
Li1 0.000 0.000 0.000 1
Nd1 0.000 0.500 0.250 1
Pu1 0.000 0.000 0.500 1
Pu2 0.000 0.500 0.750 1
O1 0.000 0.186 0.311 1
O2 0.000 0.325 0.950 1
# uncorrected formation energy: -2.186 eV per atom
# total moment: 4.00 μB per formula unit

=====

(3)
# LiNdRe2O8 | Alexandria via LeMat-Bulk | PBE | optimized geometry
data_LiNdRe2O8
_symmetry_space_group_name_H-M 'I -4'
_symmetry_Int_Tables_number 82
_symmetry_space_group_name_Hall 'I -4'
_cell_length_a 5.306
_cell_length_b 5.306
_cell_length_c 11.499
_cell_angle_alpha 90.00
_cell_angle_beta 90.00
_cell_angle_gamma 90.00
loop_
_atom_site_label
_atom_site_fract_x
_atom_site_fract_y
_atom_site_fract_z
_atom_site_occupancy
Li1 0.000 0.000 0.000 1
Nd1 0.000 0.500 0.750 1
Re1 0.000 0.000 0.500 1
Re2 0.000 0.500 0.250 1
O1 0.158 0.249 0.579 1
O2 0.159 0.750 0.172 1
# uncorrected formation energy: -1.969 eV per atom
# total moment: 2.02 μB per formula unit